Entry 1:
The following is a GGA-PBE calculation of EuInPt after structural relaxation, from Alexandria via LeMat-Bulk.

abc: 4.510 7.411 8.528
angles: 90.00 90.00 90.00
Positions (direct):
Pt (0.250, 0.768, 0.878)
Pt (0.250, 0.268, 0.622)
Pt (0.750, 0.232, 0.122)
Pt (0.750, 0.732, 0.378)
In (0.250, 0.148, 0.936)
In (0.750, 0.852, 0.064)
In (0.250, 0.648, 0.564)
In (0.750, 0.352, 0.436)
Eu (0.250, 0.533, 0.179)
Eu (0.750, 0.967, 0.679)
Eu (0.750, 0.467, 0.821)
Eu (0.250, 0.033, 0.321)

## Properties
* DOS at the Fermi energy: 36.4 states/eV/cell
* uncorrected energy: -7.207 eV per atom
* SG: No. 62

Entry 2:
The following is a GGA-PBE calculation of Tb2MgRh after structural relaxation, from Alexandria via LeMat-Bulk.

abc: 3.855 3.855 10.263
angles: 79.17 79.17 60.00
Positions (direct):
Mg (0.000, 0.000, 0.000)
Tb (0.886, 0.886, 0.343)
Tb (0.114, 0.114, 0.657)
Rh (0.500, 0.500, 0.500)

## Properties
* offset from the most stable computed form: 28.8 kJ/mol of atoms
* DOS at the Fermi energy: 2.5 states/eV/cell
* uncorrected energy: -4.731 eV per atom
* SG: No. 166

Entry 3:
The following is a GGA-PBE calculation of NaCaHg after structural relaxation, from Alexandria via LeMat-Bulk.

abc: 5.315 8.849 5.379
angles: 51.91 119.12 107.30
Positions (direct):
Na (0.136, 0.303, 0.653)
Na (0.803, 0.485, 0.805)
Hg (0.469, 0.197, 0.424)
Hg (0.137, 0.801, 0.162)
Ca (0.803, 0.997, 0.293)
Ca (0.470, 0.692, 0.935)

## Properties
* offset from the most stable computed form: 0.0 kJ/mol of atoms
* DOS at the Fermi energy: 4.7 states/eV/cell
* uncorrected energy: -1.482 eV per atom
* SG: No. 1

Entry 4:
The following is a GGA-PBE calculation of PrSn3Rh5 after structural relaxation, from Alexandria via LeMat-Bulk.

abc: 4.083 7.193 13.112
angles: 90.00 90.00 106.49
Positions (direct):
Rh (0.543, 0.086, 0.647)
Rh (0.807, 0.614, 0.435)
Rh (0.000, 0.000, 0.500)
Rh (0.000, 0.000, 0.000)
Rh (0.457, 0.914, 0.353)
Rh (0.193, 0.386, 0.565)
Rh (0.807, 0.614, 0.065)
Rh (0.543, 0.086, 0.853)
Rh (0.193, 0.386, 0.935)
Rh (0.457, 0.914, 0.147)
Sn (0.622, 0.245, 0.043)
Sn (0.130, 0.259, 0.750)
Sn (0.870, 0.741, 0.250)
Sn (0.622, 0.245, 0.457)
Sn (0.378, 0.755, 0.957)
Sn (0.378, 0.755, 0.543)
Pr (0.886, 0.771, 0.750)
Pr (0.114, 0.229, 0.250)

## Properties
* DOS at the Fermi energy: 16.5 states/eV/cell
* uncorrected energy: -6.358 eV per atom
* SG: No. 63

Entry 5:
The following is a GGA-PBE calculation of CrRePPb2 after structural relaxation, from Alexandria via LeMat-Bulk.

abc: 5.289 4.716 5.289
angles: 90.00 90.00 90.00
Positions (direct):
P (0.500, 0.500, 0.500)
Cr (0.000, 0.500, 0.000)
Pb (0.000, 0.000, 0.500)
Pb (0.500, 0.000, 0.000)
Re (0.000, 0.000, 0.000)

## Properties
* DOS at the Fermi energy: 2.5 states/eV/cell
* uncorrected energy: -5.867 eV per atom
* SG: No. 123

Entry 6:
The following is a GGA-PBE calculation of Np2Pd3Pt3 after structural relaxation, from Alexandria via LeMat-Bulk.

abc: 5.323 5.341 5.341
angles: 79.32 94.53 85.46
Positions (direct):
Pd (0.000, 0.191, 0.191)
Pd (0.214, 0.717, 0.033)
Pd (0.786, 0.033, 0.717)
Pt (0.285, 0.811, 0.526)
Pt (0.715, 0.526, 0.811)
Pt (0.500, 0.232, 0.232)
Np (0.249, 0.286, 0.705)
Np (0.752, 0.705, 0.286)

## Properties
* DOS at the Fermi energy: 20.6 states/eV/cell
* uncorrected energy: -7.878 eV per atom
* SG: No. 5

Entry 7:
The following is a GGA-PBE calculation of Nd16Dy7Er6 after structural relaxation, from Alexandria via LeMat-Bulk.

abc: 11.301 11.301 11.301
angles: 60.00 60.00 60.00
Positions (direct):
Nd (0.125, 0.125, 0.626)
Nd (0.649, 0.649, 0.053)
Nd (0.875, 0.374, 0.875)
Nd (0.351, 0.947, 0.351)
Nd (0.875, 0.875, 0.875)
Nd (0.649, 0.053, 0.649)
Nd (0.125, 0.626, 0.125)
Nd (0.947, 0.351, 0.351)
Nd (0.875, 0.875, 0.374)
Nd (0.125, 0.125, 0.125)
Nd (0.351, 0.351, 0.947)
Nd (0.649, 0.649, 0.649)
Nd (0.374, 0.875, 0.875)
Nd (0.351, 0.351, 0.351)
Nd (0.053, 0.649, 0.649)
Nd (0.626, 0.125, 0.125)
Er (0.736, 0.264, 0.264)
Er (0.264, 0.736, 0.736)
Er (0.736, 0.736, 0.264)
Er (0.736, 0.264, 0.736)
Er (0.264, 0.264, 0.736)
Er (0.264, 0.736, 0.264)
Dy (0.500, 0.500, 0.000)
Dy (0.000, 0.500, 0.000)
Dy (0.000, 0.000, 0.000)
Dy (0.500, 0.000, 0.000)
Dy (0.000, 0.000, 0.500)
Dy (0.500, 0.000, 0.500)
Dy (0.000, 0.500, 0.500)

## Properties
* DOS at the Fermi energy: 39.9 states/eV/cell
* uncorrected energy: -4.475 eV per atom
* SG: No. 225

Entry 8:
The following is a GGA-PBE calculation of TbPrCuPt after structural relaxation, from Alexandria via LeMat-Bulk.

abc: 3.881 4.462 5.775
angles: 90.00 109.63 90.00
Positions (direct):
Pr (0.141, 0.000, 0.281)
Cu (0.574, 0.500, 0.149)
Pt (0.421, 0.000, 0.842)
Tb (0.864, 0.500, 0.728)

## Properties
* offset from the most stable computed form: 0.0 kJ/mol of atoms
* DOS at the Fermi energy: 3.2 states/eV/cell
* uncorrected energy: -5.603 eV per atom
* SG: No. 38

Entry 9:
The following is a GGA-PBE calculation of TaAgTe2 after structural relaxation, from Alexandria via LeMat-Bulk.

abc: 4.026 3.783 6.695
angles: 73.63 90.00 90.00
Positions (direct):
Ta (0.500, 0.565, 0.746)
Te (0.000, 0.972, 0.931)
Te (0.500, 0.228, 0.419)
Ag (0.000, 0.735, 0.404)

## Properties
* DOS at the Fermi energy: 1.9 states/eV/cell
* energy relative to the elements, uncorrected: 0.07 eV/atom
* uncorrected energy: -5.178 eV per atom
* SG: No. 38

Entry 10:
The following is a GGA-PBE calculation of YHRh3 after structural relaxation, from Alexandria via LeMat-Bulk.

abc: 4.581 4.581 8.045
angles: 90.00 90.00 120.00
Positions (direct):
Rh (0.333, 0.667, 0.420)
Rh (0.333, 0.667, 0.080)
Rh (0.000, 0.000, 0.250)
Rh (0.667, 0.333, 0.920)
Rh (0.667, 0.333, 0.580)
Rh (0.000, 0.000, 0.750)
H (0.000, 0.000, 0.500)
H (0.000, 0.000, 0.000)
Y (0.667, 0.333, 0.250)
Y (0.333, 0.667, 0.750)

## Properties
* offset from the most stable computed form: 53.9 kJ/mol of atoms
* DOS at the Fermi energy: 7.4 states/eV/cell
* uncorrected energy: -6.309 eV per atom
* SG: No. 194

Entry 11:
The following is a GGA-PBE calculation of TiZn2Rh3 after structural relaxation, from Alexandria via LeMat-Bulk.

abc: 4.313 6.822 6.056
angles: 90.00 90.00 71.46
Positions (direct):
Zn (0.668, 0.665, 0.500)
Zn (0.000, 0.000, 0.500)
Zn (0.000, 0.000, 0.000)
Zn (0.332, 0.335, 0.500)
Rh (0.169, 0.663, 0.247)
Rh (0.831, 0.337, 0.753)
Rh (0.169, 0.663, 0.753)
Rh (0.500, 0.000, 0.747)
Rh (0.831, 0.337, 0.247)
Rh (0.500, 0.000, 0.253)
Ti (0.661, 0.678, 0.000)
Ti (0.339, 0.322, 0.000)

## Properties
* offset from the most stable computed form: 0.0 kJ/mol of atoms
* DOS at the Fermi energy: 4.2 states/eV/cell
* uncorrected energy: -6.090 eV per atom
* SG: No. 10

Entry 12:
The following is a GGA-PBE calculation of NaUB2O6 after structural relaxation, from Alexandria via LeMat-Bulk.

abc: 4.787 6.623 6.623
angles: 89.60 82.02 82.02
Positions (direct):
U (0.250, 0.305, 0.695)
U (0.750, 0.695, 0.305)
B (0.730, 0.631, 0.798)
B (0.270, 0.369, 0.202)
B (0.230, 0.798, 0.631)
B (0.770, 0.202, 0.369)
O (0.452, 0.626, 0.705)
O (0.649, 0.171, 0.583)
O (0.851, 0.417, 0.829)
O (0.817, 0.015, 0.255)
O (0.048, 0.295, 0.374)
O (0.952, 0.705, 0.626)
O (0.183, 0.985, 0.745)
O (0.548, 0.374, 0.295)
O (0.317, 0.255, 0.015)
O (0.683, 0.745, 0.985)
O (0.351, 0.829, 0.417)
O (0.149, 0.583, 0.171)
Na (0.750, 0.079, 0.921)
Na (0.250, 0.921, 0.079)

## Properties
* DOS at the Fermi energy: 1.3 states/eV/cell
* energy relative to the elements, uncorrected: -2.52 eV/atom
* uncorrected energy: -8.087 eV per atom
* SG: No. 15

Entry 13:
The following is a GGA-PBE calculation of Ca2WAu after structural relaxation, from Alexandria via LeMat-Bulk.

abc: 3.117 3.117 9.116
angles: 90.00 90.00 90.00
Positions (direct):
Au (0.500, 0.500, 0.750)
Ca (0.000, 0.000, 0.508)
Ca (0.000, 0.000, 0.992)
W (0.500, 0.500, 0.250)

## Properties
* offset from the most stable computed form: 0.0 kJ/mol of atoms
* DOS at the Fermi energy: 2.6 states/eV/cell
* uncorrected energy: -4.761 eV per atom
* SG: No. 123

Entry 14:
The following is a GGA-PBE calculation of Cd2HPd2 after structural relaxation, from Alexandria via LeMat-Bulk.

abc: 5.659 5.659 4.834
angles: 90.00 90.00 90.00
Positions (direct):
Pd (0.679, 0.179, 0.000)
Pd (0.821, 0.679, 0.000)
Pd (0.321, 0.821, 0.000)
Pd (0.179, 0.321, 0.000)
Cd (0.169, 0.669, 0.500)
Cd (0.331, 0.169, 0.500)
Cd (0.831, 0.331, 0.500)
Cd (0.669, 0.831, 0.500)
H (0.000, 0.000, 0.000)
H (0.500, 0.500, 0.000)

## Properties
* DOS at the Fermi energy: 4.1 states/eV/cell
* uncorrected energy: -3.187 eV per atom
* SG: No. 127

Entry 15:
The following is a GGA-PBE calculation of TeOsPt3 after structural relaxation, from Alexandria via LeMat-Bulk.

abc: 4.880 4.880 4.880
angles: 90.00 90.00 90.00
Positions (direct):
Pt (0.000, 0.000, 0.500)
Pt (0.500, 0.000, 0.000)
Pt (0.000, 0.500, 0.000)
Te (0.000, 0.000, 0.000)
Os (0.500, 0.500, 0.500)

## Properties
* offset from the most stable computed form: 46.2 kJ/mol of atoms
* DOS at the Fermi energy: 6.5 states/eV/cell
* energy relative to the elements, uncorrected: 1.69 eV/atom
* uncorrected energy: -4.813 eV per atom
* SG: No. 221

Entry 16:
The following is a GGA-PBE calculation of Pm2Y3Er7 after structural relaxation, from Alexandria via LeMat-Bulk.

abc: 3.608 5.669 18.976
angles: 98.59 90.00 90.00
Positions (direct):
Y (0.500, 0.314, 0.629)
Y (0.500, 0.500, 0.000)
Y (0.500, 0.686, 0.371)
Er (0.000, 0.000, 0.000)
Er (0.500, 0.071, 0.142)
Er (0.000, 0.589, 0.179)
Er (0.500, 0.929, 0.858)
Er (0.000, 0.411, 0.821)
Er (0.000, 0.230, 0.461)
Er (0.000, 0.770, 0.539)
Pm (0.000, 0.147, 0.294)
Pm (0.000, 0.853, 0.706)

## Properties
* offset from the most stable computed form: 2.5 kJ/mol of atoms
* DOS at the Fermi energy: 18.0 states/eV/cell
* uncorrected energy: -4.963 eV per atom
* SG: No. 65

Entry 17:
The following is a GGA-PBE calculation of NbAgBi3 after structural relaxation, from Alexandria via LeMat-Bulk.

abc: 5.493 5.493 5.493
angles: 90.00 90.00 90.00
Positions (direct):
Ag (0.500, 0.500, 0.500)
Bi (0.000, 0.000, 0.500)
Bi (0.000, 0.500, 0.000)
Bi (0.500, 0.000, 0.000)
Nb (0.000, 0.000, 0.000)

## Properties
* offset from the most stable computed form: 0.0 kJ/mol of atoms
* DOS at the Fermi energy: 3.0 states/eV/cell
* uncorrected energy: -4.359 eV per atom
* SG: No. 221

Entry 18:
The following is a GGA-PBE calculation of La8Pr2Zn after structural relaxation, from Alexandria via LeMat-Bulk.

abc: 6.050 10.097 10.097
angles: 40.53 90.93 90.93
Positions (direct):
La (0.236, 0.164, 0.164)
La (0.242, 0.613, 0.141)
La (0.764, 0.836, 0.836)
La (0.758, 0.859, 0.387)
La (0.242, 0.141, 0.613)
La (0.758, 0.387, 0.859)
La (0.765, 0.452, 0.452)
La (0.235, 0.548, 0.548)
Pr (0.262, 0.720, 0.720)
Pr (0.738, 0.280, 0.280)
Zn (0.000, 0.000, 0.000)

## Properties
* offset from the most stable computed form: 10.5 kJ/mol of atoms
* DOS at the Fermi energy: 15.8 states/eV/cell
* uncorrected energy: -4.483 eV per atom
* SG: No. 12

Entry 19:
The following is a GGA-PBE calculation of LiTa4Br after structural relaxation, from Alexandria via LeMat-Bulk.

abc: 5.599 5.599 5.599
angles: 60.00 60.00 60.00
Positions (direct):
Ta (0.372, 0.372, 0.885)
Ta (0.372, 0.885, 0.372)
Ta (0.372, 0.372, 0.372)
Ta (0.885, 0.372, 0.372)
Br (0.750, 0.750, 0.750)
Li (0.000, 0.000, 0.000)

## Properties
* DOS at the Fermi energy: 5.5 states/eV/cell
* energy relative to the elements, uncorrected: 0.89 eV/atom
* uncorrected energy: -7.614 eV per atom
* SG: No. 216

Entry 20:
The following is a GGA-PBE calculation of Fe2Co2Ni after structural relaxation, from Alexandria via LeMat-Bulk.

abc: 6.629 6.629 2.668
angles: 90.00 90.00 90.00
Positions (direct):
Co (0.634, 0.134, 0.000)
Co (0.866, 0.634, 0.000)
Co (0.366, 0.866, 0.000)
Co (0.134, 0.366, 0.000)
Ni (0.500, 0.500, 0.000)
Ni (0.000, 0.000, 0.000)
Fe (0.665, 0.835, 0.500)
Fe (0.835, 0.335, 0.500)
Fe (0.165, 0.665, 0.500)
Fe (0.335, 0.165, 0.500)

## Properties
* offset from the most stable computed form: 20.1 kJ/mol of atoms
* DOS at the Fermi energy: 15.4 states/eV/cell
* uncorrected energy: -7.180 eV per atom
* SG: No. 127

Entry 21:
The following is a GGA-PBE calculation of MgBeI2 after structural relaxation, from Alexandria via LeMat-Bulk.

abc: 5.294 5.294 5.294
angles: 60.00 60.00 60.00
Positions (direct):
I (0.250, 0.250, 0.250)
I (0.750, 0.750, 0.750)
Be (0.000, 0.000, 0.000)
Mg (0.500, 0.500, 0.500)

## Properties
* offset from the most stable computed form: 26.8 kJ/mol of atoms
* DOS at the Fermi energy: 1.1 states/eV/cell
* energy relative to the elements, uncorrected: 0.33 eV/atom
* uncorrected energy: -1.777 eV per atom
* SG: No. 225

Entry 22:
The following is a GGA-PBE calculation of Zn6TcAg after structural relaxation, from Alexandria via LeMat-Bulk.

abc: 3.788 3.788 8.260
angles: 90.00 90.00 90.00
Positions (direct):
Zn (0.500, 0.500, 0.500)
Zn (0.500, 0.000, 0.258)
Zn (0.500, 0.500, 0.000)
Zn (0.000, 0.500, 0.258)
Zn (0.000, 0.500, 0.742)
Zn (0.500, 0.000, 0.742)
Tc (0.000, 0.000, 0.500)
Ag (0.000, 0.000, 0.000)

## Properties
* DOS at the Fermi energy: 3.0 states/eV/cell
* uncorrected energy: -2.609 eV per atom
* SG: No. 123

Entry 23:
The following is a GGA-PBE calculation of BeRhBr2 after structural relaxation, from Alexandria via LeMat-Bulk.

abc: 3.429 3.429 7.743
angles: 90.00 90.00 111.00
Positions (direct):
Br (0.000, 0.000, 0.892)
Br (0.500, 0.500, 0.337)
Rh (0.000, 0.000, 0.570)
Be (0.500, 0.500, 0.701)

## Properties
* offset from the most stable computed form: 39.2 kJ/mol of atoms
* DOS at the Fermi energy: 2.7 states/eV/cell
* energy relative to the elements, uncorrected: 0.00 eV/atom
* uncorrected energy: -3.604 eV per atom
* SG: No. 35

Computed volume (Å³/f.u.) in order:
71.26 128.96 86.97 184.63 131.93 148.06 1020.50 94.18 97.84 73.10 84.47 102.98 88.55 77.40 116.21 383.75 165.74 400.81 124.09 58.62 104.92 118.53 84.98